(1)
First-principles (GGA-PBE) data for GaBi2Mo2 after structural relaxation, as listed in the Alexandria database.

Unit cell a=5.5805 b=5.5805 c=7.8291 alpha=90.00 beta=90.00 gamma=90.00
Space group I4/mmm (No. 139)
One atom of each set of equivalent atoms:
Ga  0.0000  0.0000  0.0000 [2 per cell]
Bi  0.0000  0.5000  0.2500 [4 per cell]
Mo  0.0000  0.0000  0.3606 [4 per cell]

## Properties
Total moment   0.000 μB/atom
Relative energy among the computed polymorphs   16.83 kJ/mol of atoms
Electronic total energy   -58.4 eV per cell
Energy of formation from the pure elements   0.65 eV per atom
V   24.381 A^3/atom

(2)
First-principles (GGA-PBE) data for CaTl2GaF6 after structural relaxation, as listed in the Alexandria database.

Unit cell a=8.7864 b=8.7864 c=8.7864 alpha=90.00 beta=90.00 gamma=90.00
Space group Fm-3m (No. 225)
One atom of each set of equivalent atoms:
Ca  0.0000  0.0000  0.0000 [4 per cell]
Tl  0.2500  0.2500  0.2500 [8 per cell]
Ga  0.0000  0.0000  0.5000 [4 per cell]
F  0.0000  0.0000  0.2603 [24 per cell]

## Properties
Total moment   0.000 μB/atom
Electronic total energy   -182.7 eV per cell
Energy relative to the elements, uncorrected   -2469 meV/atom
V   16.958 A^3/atom

(3)
First-principles (GGA-PBE) data for Ca2FeCuN after structural relaxation, as listed in the Alexandria database.

Unit cell a=5.0047 b=5.0047 c=3.5390 alpha=90.00 beta=90.00 gamma=90.00
Space group P4/mmm (No. 123)
One atom of each set of equivalent atoms:
Ca  0.0000  0.5000  0.0000 [2 per cell]
Fe  0.0000  0.0000  0.5000 [1 per cell]
Cu  0.5000  0.5000  0.5000 [1 per cell]
N  0.0000  0.0000  0.0000 [1 per cell]

## Properties
Total moment   0.000 μB/atom
Electronic total energy   -26.6 eV per cell
Energy relative to the elements, uncorrected   -341 meV/atom
V   17.728 A^3/atom

(4)
First-principles (GGA-PBE) data for SmGa2Ni2Rh after structural relaxation, as listed in the Alexandria database.

Unit cell a=4.6507 b=4.6507 c=5.2710 alpha=90.00 beta=90.00 gamma=90.00
Space group P4/mmm (No. 123)
One atom of each set of equivalent atoms:
Sm  0.0000  0.0000  0.0000 [1 per cell]
Ga  0.0000  0.5000  0.5000 [2 per cell]
Ni  0.5000  0.5000  0.2498 [2 per cell]
Rh  0.0000  0.0000  0.5000 [1 per cell]

## Properties
Total moment   0.000 μB/atom
Electronic total energy   -30.6 eV per cell
Energy of formation from the pure elements   -0.15 eV per atom
V   19.001 A^3/atom

(5)
First-principles (GGA-PBE) data for Na3Y2ErS6 after structural relaxation, as listed in the Alexandria database.

Unit cell a=6.8856 b=11.9268 c=7.0668 alpha=90.00 beta=108.95 gamma=90.00
Space group C2/m (No. 12)
One atom of each set of equivalent atoms:
Na  0.0000  0.0000  0.0000 [2 per cell]
Na  0.0000  0.3332  0.0000 [4 per cell]
Y  0.0000  0.1666  0.5000 [4 per cell]
Er  0.0000  0.5000  0.5000 [2 per cell]
S  0.2409  0.3346  0.7265 [8 per cell]
S  0.2446  0.0000  0.7262 [4 per cell]

## Properties
Total moment   0.000 μB/atom
Electronic total energy   -136.9 eV per cell
Energy relative to the elements, uncorrected   -1853 meV/atom
V   22.870 A^3/atom

(6)
First-principles (GGA-PBE) data for Cs3Hg2Pt after structural relaxation, as listed in the Alexandria database.

Unit cell a=11.9178 b=10.2819 c=11.2608 alpha=90.00 beta=119.98 gamma=90.00
Space group C2/c (No. 15)
One atom of each set of equivalent atoms:
Cs  0.0000  0.1006  0.2500 [4 per cell]
Cs  0.0331  0.3152  0.9658 [8 per cell]
Hg  0.2389  0.0422  0.6396 [8 per cell]
Pt  0.0000  0.4309  0.2500 [4 per cell]

## Properties
Total moment   0.000 μB/atom
Electronic total energy   -41.3 eV per cell
Energy of formation from the pure elements   -0.19 eV per atom
V   49.801 A^3/atom

(7)
First-principles (GGA-PBE) data for Sm5DyTm3 after structural relaxation, as listed in the Alexandria database.

Unit cell a=16.3453 b=6.6928 c=11.4937 alpha=90.00 beta=110.31 gamma=90.00
Space group C2/c (No. 15)
One atom of each set of equivalent atoms:
Sm  0.0000  0.1892  0.2500 [4 per cell]
Sm  0.1115  0.0041  0.5521 [8 per cell]
Sm  0.1707  0.4154  0.3431 [8 per cell]
Dy  0.0000  0.2585  0.7500 [4 per cell]
Tm  0.0000  0.5000  0.0000 [4 per cell]
Tm  0.2388  0.0951  0.8737 [8 per cell]

## Properties
Total moment   0.000 μB/atom
Relative energy among the computed polymorphs   0.00 kJ/mol of atoms
Electronic total energy   -159.8 eV per cell
Energy of formation from the pure elements   0.18 eV per atom
V   32.754 A^3/atom

(8)
First-principles (GGA-PBE) data for Nb2CrHgPd after structural relaxation, as listed in the Alexandria database.

Unit cell a=4.8766 b=4.8766 c=4.5225 alpha=90.00 beta=90.00 gamma=90.00
Space group P4/mmm (No. 123)
One atom of each set of equivalent atoms:
Nb  0.0000  0.5000  0.0000 [2 per cell]
Cr  0.0000  0.0000  0.5000 [1 per cell]
Hg  0.5000  0.5000  0.5000 [1 per cell]
Pd  0.0000  0.0000  0.0000 [1 per cell]

## Properties
Total moment   0.000 μB/atom
Electronic total energy   -28.5 eV per cell
Energy of formation from the pure elements   1.35 eV per atom
V   21.510 A^3/atom

(9)
First-principles (GGA-PBE) data for HfSc5N5 after structural relaxation, as listed in the Alexandria database.

Unit cell a=10.1496 b=4.5234 c=6.4029 alpha=90.00 beta=108.58 gamma=90.00
Space group C2/m (No. 12)
One atom of each set of equivalent atoms:
Hf  0.0000  0.0000  0.0000 [2 per cell]
Sc  0.0000  0.0000  0.5000 [2 per cell]
Sc  0.1702  0.5000  0.8428 [4 per cell]
Sc  0.1768  0.5000  0.3304 [4 per cell]
N  0.0000  0.5000  0.0000 [2 per cell]
N  0.1643  0.0000  0.8334 [4 per cell]
N  0.1647  0.0000  0.3318 [4 per cell]

## Properties
Total moment   0.000 μB/atom
Electronic total energy   -205.4 eV per cell
Energy relative to the elements, uncorrected   -1770 meV/atom
V   12.665 A^3/atom

(10)
First-principles (GGA-PBE) data for ScSbAu2 after structural relaxation, as listed in the Alexandria database.

Unit cell a=9.7006 b=4.2360 c=4.2647 alpha=90.00 beta=103.81 gamma=90.00
Space group Cm (No. 8)
One atom of each set of equivalent atoms:
Sc  0.0000  0.0000  0.0000 [2 per cell]
Sb  0.2565  0.0000  0.7769 [2 per cell]
Au  0.2296  0.5000  0.2719 [2 per cell]
Au  0.4608  0.0000  0.4240 [2 per cell]

## Properties
Total moment   0.000 μB/atom
Electronic total energy   -37.4 eV per cell
Energy relative to the elements, uncorrected   -420 meV/atom
V   21.272 A^3/atom

(11)
First-principles (GGA-PBE) data for NbCrAg2 after structural relaxation, as listed in the Alexandria database.

Unit cell a=7.4664 b=7.4664 c=5.0836 alpha=90.00 beta=90.00 gamma=90.00
Space group I-42d (No. 122)
One atom of each set of equivalent atoms:
Nb  0.0000  0.0000  0.0000 [4 per cell]
Cr  0.0000  0.0000  0.5000 [4 per cell]
Ag  0.2192  0.7500  0.6250 [8 per cell]

## Properties
Total moment   0.000 μB/atom
Relative energy among the computed polymorphs   13.21 kJ/mol of atoms
Electronic total energy   -86.1 eV per cell
Energy of formation from the pure elements   0.97 eV per atom
V   17.712 A^3/atom

(12)
First-principles (GGA-PBE) data for PmNdAlOs after structural relaxation, as listed in the Alexandria database.

Unit cell a=7.2112 b=7.2112 c=7.2112 alpha=90.00 beta=90.00 gamma=90.00
Space group F-43m (No. 216)
One atom of each set of equivalent atoms:
Pm  0.0000  0.0000  0.0000 [4 per cell]
Nd  0.0000  0.0000  0.5000 [4 per cell]
Al  0.2500  0.2500  0.7500 [4 per cell]
Os  0.2500  0.2500  0.2500 [4 per cell]

## Properties
Total moment   0.000 μB/atom
Electronic total energy   -99.3 eV per cell
Energy of formation from the pure elements   -0.08 eV per atom
V   23.437 A^3/atom

(13)
First-principles (GGA-PBE) data for As2WAu after structural relaxation, as listed in the Alexandria database.

Unit cell a=3.2878 b=4.6551 c=10.2126 alpha=90.00 beta=90.00 gamma=90.00
Space group Cmmm (No. 65)
One atom of each set of equivalent atoms:
As  0.0000  0.0000  0.2000 [4 per cell]
W  0.0000  0.5000  0.0000 [2 per cell]
Au  0.0000  0.5000  0.5000 [2 per cell]

## Properties
Total moment   0.000 μB/atom
Relative energy among the computed polymorphs   16.01 kJ/mol of atoms
Electronic total energy   -48.3 eV per cell
Energy of formation from the pure elements   0.35 eV per atom
V   19.538 A^3/atom

(14)
First-principles (GGA-PBE) data for Mg5Tl2H after structural relaxation, as listed in the Alexandria database.

Unit cell a=6.3337 b=6.3337 c=8.8157 alpha=90.00 beta=90.00 gamma=90.00
Space group I4mm (No. 107)
One atom of each set of equivalent atoms:
Mg  0.0000  0.0000  0.0000 [2 per cell]
Mg  0.2501  0.2501  0.2534 [8 per cell]
Tl  0.0000  0.5000  0.0035 [4 per cell]
H  0.0000  0.0000  0.2354 [2 per cell]

## Properties
Total moment   0.000 μB/atom
Electronic total energy   -31.3 eV per cell
V   22.103 A^3/atom

(15)
First-principles (GGA-PBE) data for Sr3SmMg4 after structural relaxation, as listed in the Alexandria database.

Unit cell a=4.0439 b=4.0439 c=16.7976 alpha=90.00 beta=90.00 gamma=90.00
Space group P4/mmm (No. 123)
One atom of each set of equivalent atoms:
Sr  0.0000  0.0000  0.0000 [1 per cell]
Sr  0.0000  0.0000  0.2619 [2 per cell]
Sm  0.0000  0.0000  0.5000 [1 per cell]
Mg  0.5000  0.5000  0.1310 [2 per cell]
Mg  0.5000  0.5000  0.3947 [2 per cell]

## Properties
Total moment   0.020 μB/atom
Electronic total energy   -16.6 eV per cell
Energy of formation from the pure elements   -0.05 eV per atom
V   34.336 A^3/atom

(16)
First-principles (GGA-PBE) data for AgTe2NF after structural relaxation, as listed in the Alexandria database.

Unit cell a=5.5434 b=5.5434 c=3.8929 alpha=90.00 beta=90.00 gamma=90.00
Space group P4/mmm (No. 123)
One atom of each set of equivalent atoms:
Ag  0.0000  0.0000  0.0000 [1 per cell]
Te  0.0000  0.5000  0.0000 [2 per cell]
N  0.0000  0.0000  0.5000 [1 per cell]
F  0.5000  0.5000  0.5000 [1 per cell]

## Properties
Total moment   0.378 μB/atom
Relative energy among the computed polymorphs   0.00 kJ/mol of atoms
Electronic total energy   -14.5 eV per cell
Energy relative to the elements, uncorrected   963 meV/atom
V   23.925 A^3/atom

(17)
First-principles (GGA-PBE) data for P2RhCO after structural relaxation, as listed in the Alexandria database.

Unit cell a=4.3013 b=4.3013 c=3.0131 alpha=90.00 beta=90.00 gamma=90.00
Space group P4/mmm (No. 123)
One atom of each set of equivalent atoms:
P  0.0000  0.5000  0.0000 [2 per cell]
Rh  0.0000  0.0000  0.5000 [1 per cell]
C  0.5000  0.5000  0.0000 [1 per cell]
O  0.5000  0.5000  0.5000 [1 per cell]

## Properties
Total moment   0.000 μB/atom
Relative energy among the computed polymorphs   0.00 kJ/mol of atoms
Electronic total energy   -28.4 eV per cell
Energy relative to the elements, uncorrected   798 meV/atom
V   11.149 A^3/atom

(18)
First-principles (GGA-PBE) data for La8Tb3Er2 after structural relaxation, as listed in the Alexandria database.

Unit cell a=20.5158 b=7.7526 c=5.8595 alpha=90.00 beta=90.06 gamma=90.00
Space group C2/m (No. 12)
One atom of each set of equivalent atoms:
La  0.1059  0.2007  0.0002 [8 per cell]
La  0.1315  0.5000  0.4983 [4 per cell]
La  0.1755  0.0000  0.5022 [4 per cell]
Tb  0.0000  0.2171  0.5000 [4 per cell]
Tb  0.0000  0.5000  0.0000 [2 per cell]
Er  0.2398  0.5000  0.9972 [4 per cell]

## Properties
Total moment   0.000 μB/atom
Relative energy among the computed polymorphs   3.55 kJ/mol of atoms
Electronic total energy   -120.2 eV per cell
Energy of formation from the pure elements   0.18 eV per atom
V   35.845 A^3/atom

(19)
First-principles (GGA-PBE) data for HoErAg after structural relaxation, as listed in the Alexandria database.

Unit cell a=3.5685 b=3.5685 c=12.4276 alpha=90.00 beta=90.00 gamma=90.00
Space group I4mm (No. 107)
One atom of each set of equivalent atoms:
Ho  0.0000  0.0000  0.0000 [2 per cell]
Er  0.0000  0.0000  0.7014 [2 per cell]
Ag  0.0000  0.0000  0.3491 [2 per cell]

## Properties
Total moment   0.290 μB/atom
Relative energy among the computed polymorphs   2.68 kJ/mol of atoms
Electronic total energy   -25.1 eV per cell
Energy of formation from the pure elements   -0.18 eV per atom
V   26.375 A^3/atom

(20)
First-principles (GGA-PBE) data for BaZnSnH after structural relaxation, as listed in the Alexandria database.

Unit cell a=4.7448 b=4.7448 c=4.8808 alpha=90.00 beta=90.00 gamma=120.00
Space group P3m1 (No. 156)
One atom of each set of equivalent atoms:
Ba  0.0000  0.0000  0.0000 [1 per cell]
Zn  0.3333  0.6667  0.4527 [1 per cell]
Sn  0.6667  0.3333  0.5205 [1 per cell]
H  0.3333  0.6667  0.1033 [1 per cell]

## Properties
Total moment   0.000 μB/atom
Electronic total energy   -12.1 eV per cell
V   23.789 A^3/atom

(21)
First-principles (GGA-PBE) data for Zr2MoAs after structural relaxation, as listed in the Alexandria database.

Unit cell a=3.4789 b=3.4789 c=23.0442 alpha=90.00 beta=90.00 gamma=120.00
Space group R-3m (No. 166, hexagonal axes)
One atom of each set of equivalent atoms:
Zr  0.0000  0.0000  0.2459 [6 per cell]
Mo  0.0000  0.0000  0.0000 [3 per cell]
As  0.0000  0.0000  0.5000 [3 per cell]

## Properties
Total moment   0.000 μB/atom
Electronic total energy   -101.1 eV per cell
Energy of formation from the pure elements   -0.28 eV per atom
V   20.127 A^3/atom

(22)
First-principles (GGA-PBE) data for TiHgTeO6 after structural relaxation, as listed in the Alexandria database.

Unit cell a=5.2601 b=5.2601 c=9.9907 alpha=90.00 beta=90.00 gamma=120.00
Space group P-31c (No. 163)
One atom of each set of equivalent atoms:
Ti  0.3333  0.6667  0.2500 [2 per cell]
Hg  0.0000  0.0000  0.0000 [2 per cell]
Te  0.3333  0.6667  0.7500 [2 per cell]
O  0.0041  0.3776  0.6427 [12 per cell]

## Properties
Total moment   0.000 μB/atom
Electronic total energy   -108.9 eV per cell
Energy relative to the elements, uncorrected   -1486 meV/atom
V   13.300 A^3/atom

(23)
First-principles (GGA-PBE) data for InOs2Br after structural relaxation, as listed in the Alexandria database.

Unit cell a=3.1888 b=3.1888 c=6.6013 alpha=90.00 beta=90.00 gamma=90.00
Space group P4/mmm (No. 123)
One atom of each set of equivalent atoms:
In  0.0000  0.0000  0.0000 [1 per cell]
Os  0.5000  0.5000  0.2600 [2 per cell]
Br  0.0000  0.0000  0.5000 [1 per cell]

## Properties
Total moment   0.000 μB/atom
Relative energy among the computed polymorphs   72.11 kJ/mol of atoms
Electronic total energy   -22.0 eV per cell
Energy relative to the elements, uncorrected   1215 meV/atom
V   16.781 A^3/atom